[1]
PBE-GGA CaSm2Pt2, relaxed; space group = P4/mbm; ΔE_f = -0.964 eV/atom; final energy = -5.668 eV per atom
1.0
7.9383 0.0000 0.0000
0.0000 7.9383 0.0000
0.0000 0.0000 3.9826
Ca Sm Pt
2 4 4
Direct
0.0000 0.0000 0.0000
0.5000 0.5000 0.0000
0.1590 0.3410 0.5000
0.3410 0.8410 0.5000
0.6590 0.1590 0.5000
0.8410 0.6590 0.5000
0.1369 0.6369 0.0000
0.3631 0.1369 0.0000
0.6369 0.8631 0.0000
0.8631 0.3631 0.0000

***

[2]
PBE-GGA Ca2AlO, relaxed; space group = Fm-3m; formation energy without anion corrections = -0.3252 eV/atom; final energy = -3.501 eV per atom
1.0
0.0000 3.5534 3.5534
3.5534 0.0000 3.5534
3.5534 3.5534 0.0000
Ca Al O
2 1 1
Direct
0.2500 0.2500 0.2500
0.7500 0.7500 0.7500
0.0000 0.0000 0.0000
0.5000 0.5000 0.5000

***

[3]
PBE-GGA Mg2MoPt, relaxed; space group = Immm; ΔE_f = -0.028 eV/atom; final energy = -5.044 eV per atom
1.0
-1.4243 2.4803 4.8177
1.4243 -2.4803 4.8177
1.4243 2.4803 -4.8177
Mg Mo Pt
2 1 1
Direct
0.2332 0.2332 0.0000
0.7668 0.7668 0.0000
0.5000 0.0000 0.5000
0.0000 0.5000 0.5000

***

[4]
PBE-GGA Dy4Hg2S, relaxed; space group = I4/mmm; formation energy without anion corrections = -0.7213 eV/atom; final energy = -4.027 eV per atom
1.0
-2.5790 2.5790 7.4027
2.5790 -2.5790 7.4027
2.5790 2.5790 -7.4027
Dy Hg S
4 2 1
Direct
0.0000 0.5000 0.5000
0.1869 0.1869 0.0000
0.5000 0.0000 0.5000
0.8131 0.8131 0.0000
0.3827 0.3827 0.0000
0.6173 0.6173 0.0000
0.0000 0.0000 0.0000

***

[5]
PBE-GGA VPdS2, relaxed; space group = Cc; formation energy without anion corrections = -0.5230 eV/atom; final energy = -6.165 eV per atom
1.0
3.3774 -3.4068 0.0000
3.3774 3.4068 0.0000
-2.7538 0.0000 5.6094
V Pd S
2 2 4
Direct
0.1819 0.8181 0.5000
0.8181 0.1819 0.0000
0.3615 0.5767 0.0551
0.5767 0.3615 0.5551
0.0366 0.3116 0.4378
0.3116 0.0366 0.9378
0.6822 0.8830 0.5842
0.8830 0.6822 0.0842

***

[6]
PBE-GGA ZnIn2AsP, relaxed; space group = P4/mmm; ΔE_f = 0.659 eV/atom; final energy = -2.703 eV per atom
1.0
5.1690 0.0000 0.0000
0.0000 5.1690 0.0000
0.0000 0.0000 4.7496
Zn In As P
1 2 1 1
Direct
0.0000 0.0000 0.0000
0.0000 0.5000 0.0000
0.5000 0.0000 0.0000
0.0000 0.0000 0.5000
0.5000 0.5000 0.5000

***

[7]
PBE-GGA Cs2K2Ge3, relaxed; space group = C2/m; ΔE_f = -0.081 eV/atom; final energy = -2.617 eV per atom
1.0
6.7275 -2.9229 0.0000
6.7275 2.9229 0.0000
-5.5111 0.0000 7.6019
Cs K Ge
2 2 3
Direct
0.1671 0.1671 0.0720
0.8329 0.8329 0.9280
0.1548 0.1548 0.5204
0.8452 0.8452 0.4796
0.4846 0.4846 0.7376
0.5000 0.5000 0.5000
0.5154 0.5154 0.2624

***

[8]
PBE-GGA SbPtC3, relaxed; space group = Pm-3m; formation energy without anion corrections = 3.0322 eV/atom; final energy = -4.535 eV per atom
1.0
4.1935 0.0000 0.0000
0.0000 4.1935 0.0000
0.0000 0.0000 4.1935
Sb Pt C
1 1 3
Direct
0.0000 0.0000 0.0000
0.5000 0.5000 0.5000
0.0000 0.0000 0.5000
0.0000 0.5000 0.0000
0.5000 0.0000 0.0000